Na3Cu5Cl12: optimized geometry, PBE.

Total DFT energy (no corrections), eV per cell: -511.7
Crystal system: cubic

Structure (CIF):
```
data_Na3Cu5Cl12
_cell_length_a 15.3426
_cell_length_b 15.3426
_cell_length_c 15.3426
_cell_angle_alpha 90.00
_cell_angle_beta 90.00
_cell_angle_gamma 90.00
_space_group_name_H-M_alt 'I a -3 d'
_space_group_IT_number 230
_space_group_name_Hall '-I 4bd 2c 3'
loop_
_atom_site_label
_atom_site_fract_x
_atom_site_fract_y
_atom_site_fract_z
Na1 0.0000 0.2500 0.1250
Cu1 0.0000 0.0000 0.0000
Cu2 0.0000 0.2500 0.3750
Cl1 0.0279 0.0475 0.6489
```

Na3Cu3Cl8: optimized geometry, PBE.

Total DFT energy (no corrections), eV per cell: -135.3
Crystal system: trigonal

Structure (CIF):
```
data_Na3Cu3Cl8
_cell_length_a 7.4309
_cell_length_b 7.4309
_cell_length_c 19.5238
_cell_angle_alpha 90.00
_cell_angle_beta 90.00
_cell_angle_gamma 120.00
_space_group_name_H-M_alt 'R -3 m'
_space_group_IT_number 166
_space_group_name_Hall '-R 3 2"'
loop_
_atom_site_label
_atom_site_fract_x
_atom_site_fract_y
_atom_site_fract_z
Na1 0.0000 0.5000 0.0000
Cu1 0.0000 0.0000 0.1338
Cu2 0.0000 0.0000 0.5000
Cl1 0.0000 0.0000 0.2509
Cl2 0.0090 0.5045 0.2389
```

NaCu3Cl6: optimized geometry, PBE.

Total DFT energy (no corrections), eV per cell: -63.6
Crystal system: orthorhombic

Structure (CIF):
```
data_NaCu3Cl6
_cell_length_a 8.6524
_cell_length_b 12.6056
_cell_length_c 3.8932
_cell_angle_alpha 90.00
_cell_angle_beta 90.00
_cell_angle_gamma 90.00
_space_group_name_H-M_alt 'C m m m'
_space_group_IT_number 65
_space_group_name_Hall '-C 2 2'
loop_
_atom_site_label
_atom_site_fract_x
_atom_site_fract_y
_atom_site_fract_z
Na1 0.0000 0.0000 0.0000
Cu1 0.0000 0.5000 0.0000
Cu2 0.2500 0.2500 0.5000
Cl1 0.0000 0.1731 0.5000
Cl2 0.1883 0.3744 0.0000
```

Na2Cu2Cl5: optimized geometry, PBE.

Total DFT energy (no corrections), eV per cell: -58.8
Crystal system: monoclinic

Structure (CIF):
```
data_Na2Cu2Cl5
_cell_length_a 13.5181
_cell_length_b 4.6480
_cell_length_c 7.2554
_cell_angle_alpha 90.00
_cell_angle_beta 117.13
_cell_angle_gamma 90.00
_space_group_name_H-M_alt 'C 1 2/m 1'
_space_group_IT_number 12
_space_group_name_Hall '-C 2y'
loop_
_atom_site_label
_atom_site_fract_x
_atom_site_fract_y
_atom_site_fract_z
Na1 0.1197 0.0000 0.2846
Cu1 0.0974 0.5000 0.7998
Cl1 0.0000 0.5000 0.0000
Cl2 0.1205 0.0000 0.8603
Cl3 0.1492 0.5000 0.5402
```

Which value of total DFT energy (no corrections) does entry 2 give?
-135.3 eV per cell

Look up the total DFT energy (no corrections) of the fourth one.
-58.8 eV per cell

Which of these has the highest total DFT energy (no corrections)?
Na2Cu2Cl5